Sc3AlH3: relaxed, PBE-GGA.

Final energy ... -35.76 eV per formula unit
Total magnetization ... 0.0 μB/f.u.
D(E_F) ... 0.337 states/eV/atom

a b c (Å): 5.8434 5.8434 20.8314
angles (deg): 90.00 90.00 120.00
Closest atoms and distances in Å follow each position.
Space group R-3 (No. 148, hexagonal axes)
Asymmetric unit:
Sc 0.0014 0.6592 0.3956 x18  4 H 2.00-2.04
Al 0.0000 0.0000 0.1665 x6  6 Sc 2.90-2.91
H 0.0019 0.6713 0.6316 x18  4 Sc 2.00-2.04

ScAlH: relaxed, PBE-GGA.

Energy above the most stable polymorph in this dataset ... 0.00 kJ/mol of atoms
Final energy ... -14.53 eV per formula unit
Total magnetization ... 0.0 μB/f.u.
D(E_F) ... 0.333 states/eV/atom

a b c (Å): 5.3811 5.8456 10.9726
angles (deg): 82.41 86.81 88.98
Closest atoms and distances in Å follow each position.
Space group P1 (No. 1)
Asymmetric unit:
Sc 0.0000 0.0000 0.0000 x1  3 H 1.97-2.01
Sc 0.0108 0.4777 0.0915 x1  3 H 1.95-2.00
Sc 0.0840 0.6693 0.5893 x1  4 H 1.93-2.09
Sc 0.2485 0.0304 0.2623 x1  3 H 1.98-2.10
Sc 0.2822 0.5129 0.3413 x1  2 H 1.98-2.05
Sc 0.3074 0.1845 0.7448 x1  3 H 1.94-2.11
Sc 0.3252 0.6640 0.8398 x1  4 H 1.97-2.10
Sc 0.5566 0.9402 0.5076 x1  3 H 1.99-2.08
Al 0.0398 0.1732 0.5160 x1  3 Al 2.67-2.82, 2 H 2.72-2.78, 4 Sc 2.85-2.97
Al 0.5030 0.7538 0.0832 x1  2 H 2.54-2.69, 1 Al 2.69
Al 0.5060 0.2690 0.0139 x1  2 H 2.32-2.58
Al 0.6242 0.4254 0.5357 x1  1 H 1.75
Al 0.7601 0.2599 0.3162 x1  1 H 2.20
Al 0.7720 0.7487 0.2827 x1  2 Al 2.69-2.83, 1 H 2.73, 2 Sc 2.99-3.01
Al 0.8112 0.9711 0.7410 x1  3 H 2.59-2.84, 2 Al 2.80-2.82
Al 0.8276 0.4053 0.8226 x1  1 H 2.51, 2 Al 2.69-2.80
H 0.0119 0.6937 0.9406 x1  3 Sc 1.95-1.98
H 0.2649 0.8049 0.4273 x1  4 Sc 2.05-2.10
H 0.2943 0.3579 0.1916 x1  3 Sc 1.98-1.99
H 0.3067 0.9703 0.8963 x1  3 Sc 1.94-1.97
H 0.3306 0.8719 0.6681 x1  4 Sc 2.08-2.11, 1 H 2.10
H 0.3535 0.5099 0.6884 x1  3 Sc 1.94-2.00, 1 H 2.10
H 0.7250 0.6679 0.5966 x1  1 Al 1.75, 1 Sc 1.93
H 0.9676 0.1441 0.1571 x1  3 Sc 2.00-2.01, 1 Al 2.20